Entry from Alexandria via LeMat-Bulk: a relaxed structure of LuMn2Al (PBE-GGA).

The space group is Fm-3m (No. 225) and the conventional cell measures 6.301, 6.301 and 6.301 Å, with angles of 90.00, 90.00 and 90.00 degrees. The asymmetric unit holds Lu at (0.000, 0.000, 0.000), Mn at (0.250, 0.250, 0.250) and Al at (0.000, 0.000, 0.500).

The calculated formation energy comes out at 0.000 eV per atom. The total energy is -106.42 eV for the cell shown. The density of states at the Fermi level comes out at 4.376 states/eV/f.u.